An optimized crystal structure of KNiRh2, computed with GGA-PBE.

Electronic total energy = -4.66 eV/atom
Formation energy from the elements = 16.9 kcal/mol of atoms

Unit cell a=5.865 b=5.865 c=5.865 alpha=153.15 beta=128.05 gamma=59.44
Last column: magnetic moment on the atom in μB.
Positions (direct):
K 0.495 0.495 0.000  -0.01
Ni 0.214 0.714 0.500  0.79
Rh 0.006 0.006 0.000  0.58
Rh 0.785 0.285 0.500  0.73